## A
DyZrZn | PBE-GGA | relaxed

- ρ (g/cm3) = 7.6
- M_tot (μB per formula unit) = 0.000

abc: 4.8649 4.8649 3.4132
angles: 90.00 90.00 120.00
Space group P3m1 (No. 156)
Symmetry-distinct sites (fractional):
Dy1 0.0000 0.0000 0.0000 [1 per cell]
Zr1 0.3333 0.6667 0.5013 [1 per cell]
Zn1 0.6667 0.3333 0.4950 [1 per cell]

## B
DyZrZn | PBE-GGA | relaxed

- ρ (g/cm3) = 7.8
- M_tot (μB per formula unit) = 0.000

abc: 3.398 15.968 5.030
angles: 90.00 90.00 90.00
Space group Cmcm (No. 63)
Symmetry-distinct sites (fractional):
Dy1 0.000 0.086 0.250 [4 per cell]
Zr1 0.000 0.225 0.750 [4 per cell]
Zn1 0.000 0.429 0.250 [4 per cell]

## C
DyZrZn | PBE-GGA | relaxed

- ρ (g/cm3) = 7.8
- M_tot (μB per formula unit) = 0.000

abc: 3.388 3.388 11.908
angles: 90.00 90.00 90.00
Space group I4mm (No. 107)
Symmetry-distinct sites (fractional):
Dy1 0.000 0.000 0.000 [2 per cell]
Zr1 0.000 0.000 0.309 [2 per cell]
Zn1 0.000 0.000 0.670 [2 per cell]

Which is the most stable structure? B is the most stable.

## A
Dy2ZrZn3 | PBE-GGA | relaxed

- ρ (g/cm3) = 8.0
- M_tot (μB per formula unit) = 0.001

abc: 3.493 3.493 10.440
angles: 90.00 90.00 90.00
Space group P4/mmm (No. 123)
Symmetry-distinct sites (fractional):
Dy1 0.000 0.000 0.174 [2 per cell]
Zr1 0.000 0.000 0.500 [1 per cell]
Zn1 0.500 0.500 0.000 [1 per cell]
Zn2 0.500 0.500 0.352 [2 per cell]

## B
Dy2ZrZn3 | PBE-GGA | relaxed

- ρ (g/cm3) = 8.0
- M_tot (μB per formula unit) = 0.001

abc: 4.9234 4.9234 6.0655
angles: 90.00 90.00 120.00
Space group P-3m1 (No. 164)
Symmetry-distinct sites (fractional):
Dy1 0.3333 0.6667 0.1734 [2 per cell]
Zr1 0.0000 0.0000 0.5000 [1 per cell]
Zn1 0.0000 0.0000 0.0000 [1 per cell]
Zn2 0.3333 0.6667 0.6604 [2 per cell]

Which is the most stable structure? A is the most stable.

## A
DyZr3 | PBE-GGA | relaxed

- ρ (g/cm3) = 7.2
- M_tot (μB per formula unit) = 0.000

abc: 3.300 5.240 5.780
angles: 90.00 90.00 90.00
Space group Pmm2 (No. 25)
Symmetry-distinct sites (fractional):
Dy1 0.000 0.000 0.000 [1 per cell]
Zr1 0.000 0.500 0.662 [1 per cell]
Zr2 0.500 0.000 0.500 [1 per cell]
Zr3 0.500 0.500 0.187 [1 per cell]

## B
DyZr3 | PBE-GGA | relaxed

- ρ (g/cm3) = 7.4
- M_tot (μB per formula unit) = 0.000

abc: 7.317 7.317 7.317
angles: 90.00 90.00 90.00
Space group Fm-3m (No. 225)
Symmetry-distinct sites (fractional):
Dy1 0.000 0.000 0.000 [4 per cell]
Zr1 0.000 0.000 0.500 [4 per cell]
Zr2 0.250 0.250 0.250 [8 per cell]

Which is the most stable structure? A is the most stable.

## A
DyZr3 | PBE-GGA | relaxed

- ρ (g/cm3) = 7.3
- M_tot (μB per formula unit) = 0.000

abc: 4.626 4.626 4.626
angles: 90.00 90.00 90.00
Space group Pm-3m (No. 221)
Symmetry-distinct sites (fractional):
Dy1 0.000 0.000 0.000 [1 per cell]
Zr1 0.000 0.500 0.500 [3 per cell]

## B
DyZr3 | PBE-GGA | relaxed

- ρ (g/cm3) = 7.3
- M_tot (μB per formula unit) = 0.000

abc: 3.298 10.520 5.753
angles: 90.00 90.00 90.00
Space group Imm2 (No. 44)
Symmetry-distinct sites (fractional):
Dy1 0.000 0.000 0.000 [2 per cell]
Zr1 0.000 0.246 0.666 [4 per cell]
Zr2 0.000 0.500 0.996 [2 per cell]

Which is the most stable structure? B is the most stable.

## A
EuEr3 | PBE-GGA | relaxed

- ρ (g/cm3) = 8.4
- M_tot (μB per formula unit) = 7.193

abc: 5.046 5.046 5.046
angles: 90.00 90.00 90.00
Space group Pm-3m (No. 221)
Symmetry-distinct sites (fractional):
Eu1 0.000 0.000 0.000 [1 per cell]
Er1 0.000 0.500 0.500 [3 per cell]

## B
EuEr3 | PBE-GGA | relaxed

- ρ (g/cm3) = 8.3
- M_tot (μB per formula unit) = 8.267

abc: 3.601 5.756 6.299
angles: 90.00 90.00 90.00
Space group Pmm2 (No. 25)
Symmetry-distinct sites (fractional):
Eu1 0.000 0.000 0.000 [1 per cell]
Er1 0.000 0.500 0.662 [1 per cell]
Er2 0.500 0.000 0.498 [1 per cell]
Er3 0.500 0.500 0.176 [1 per cell]

Which is the most stable structure? B is the most stable.

## A
EuEr3 | PBE-GGA | relaxed

- ρ (g/cm3) = 8.4
- M_tot (μB per formula unit) = 7.597

abc: 3.611 11.466 6.277
angles: 90.00 90.00 90.00
Space group Imm2 (No. 44)
Symmetry-distinct sites (fractional):
Eu1 0.000 0.000 0.000 [2 per cell]
Er1 0.000 0.244 0.663 [4 per cell]
Er2 0.000 0.500 0.997 [2 per cell]

## B
EuEr3 | PBE-GGA | relaxed

- ρ (g/cm3) = 8.3
- M_tot (μB per formula unit) = 8.084

abc: 8.047 8.047 8.047
angles: 90.00 90.00 90.00
Space group Fm-3m (No. 225)
Symmetry-distinct sites (fractional):
Eu1 0.000 0.000 0.000 [4 per cell]
Er1 0.000 0.000 0.500 [4 per cell]
Er2 0.250 0.250 0.250 [8 per cell]

Which is the most stable structure? A is the most stable.

## A
Eu2Er | PBE-GGA | relaxed

- ρ (g/cm3) = 6.9
- M_tot (μB per formula unit) = 15.396

abc: 9.659 9.659 9.659
angles: 90.00 90.00 90.00
Space group Fd-3m (No. 227, origin choice 2)
Symmetry-distinct sites (fractional):
Eu1 0.000 0.000 0.000 [16 per cell]
Er1 0.125 0.125 0.625 [8 per cell]

## B
Eu2Er | PBE-GGA | relaxed

- ρ (g/cm3) = 7.0
- M_tot (μB per formula unit) = 15.246

abc: 3.713 3.713 16.140
angles: 90.00 90.00 90.00
Space group I4/mmm (No. 139)
Symmetry-distinct sites (fractional):
Eu1 0.000 0.000 0.161 [4 per cell]
Er1 0.000 0.000 0.500 [2 per cell]

Which is the most stable structure? B is the most stable.

## A
EuEr2 | PBE-GGA | relaxed

- ρ (g/cm3) = 7.4
- M_tot (μB per formula unit) = 7.921

abc: 9.570 9.570 9.570
angles: 90.00 90.00 90.00
Space group Fd-3m (No. 227, origin choice 2)
Symmetry-distinct sites (fractional):
Eu1 0.125 0.125 0.125 [8 per cell]
Er1 0.000 0.000 0.500 [16 per cell]

## B
EuEr2 | PBE-GGA | relaxed

- ρ (g/cm3) = 8.1
- M_tot (μB per formula unit) = 7.107

abc: 3.613 3.613 15.335
angles: 90.00 90.00 90.00
Space group I4/mmm (No. 139)
Symmetry-distinct sites (fractional):
Eu1 0.000 0.000 0.000 [2 per cell]
Er1 0.000 0.000 0.325 [4 per cell]

Which is the most stable structure? B is the most stable.

## A
EuEr2Ga | PBE-GGA | relaxed

- ρ (g/cm3) = 8.0
- M_tot (μB per formula unit) = 7.377

abc: 3.527 3.527 9.261
angles: 90.00 90.00 90.00
Space group P4/mmm (No. 123)
Symmetry-distinct sites (fractional):
Eu1 0.000 0.000 0.000 [1 per cell]
Er1 0.500 0.500 0.307 [2 per cell]
Ga1 0.000 0.000 0.500 [1 per cell]

## B
EuEr2Ga | PBE-GGA | relaxed

- ρ (g/cm3) = 8.6
- M_tot (μB per formula unit) = 7.599

abc: 4.812 4.812 4.654
angles: 90.00 90.00 90.00
Space group P4/mmm (No. 123)
Symmetry-distinct sites (fractional):
Eu1 0.000 0.000 0.000 [1 per cell]
Er1 0.000 0.500 0.500 [2 per cell]
Ga1 0.500 0.500 0.000 [1 per cell]

Which is the most stable structure? A is the most stable.

## A
EuErGa | PBE-GGA | relaxed

- ρ (g/cm3) = 6.9
- M_tot (μB per formula unit) = 7.188

abc: 7.191 7.191 7.191
angles: 90.00 90.00 90.00
Space group F-43m (No. 216)
Symmetry-distinct sites (fractional):
Eu1 0.000 0.000 0.000 [4 per cell]
Er1 0.000 0.000 0.500 [4 per cell]
Ga1 0.250 0.250 0.250 [4 per cell]

## B
EuErGa | PBE-GGA | relaxed

- ρ (g/cm3) = 7.7
- M_tot (μB per formula unit) = 7.130

abc: 5.0647 5.0647 3.7693
angles: 90.00 90.00 120.00
Space group P3m1 (No. 156)
Symmetry-distinct sites (fractional):
Eu1 0.0000 0.0000 0.0000 [1 per cell]
Er1 0.3333 0.6667 0.4574 [1 per cell]
Ga1 0.6667 0.3333 0.6169 [1 per cell]

Which is the most stable structure? B is the most stable.

## A
EuGdEr | PBE-GGA | relaxed

- ρ (g/cm3) = 7.7
- M_tot (μB per formula unit) = 14.703

abc: 3.638 3.638 15.497
angles: 90.00 90.00 90.00
Space group I4mm (No. 107)
Symmetry-distinct sites (fractional):
Eu1 0.000 0.000 0.000 [2 per cell]
Gd1 0.000 0.000 0.325 [2 per cell]
Er1 0.000 0.000 0.674 [2 per cell]

## B
EuGdEr | PBE-GGA | relaxed

- ρ (g/cm3) = 7.8
- M_tot (μB per formula unit) = 0.094

abc: 3.6412 3.6412 8.8812
angles: 90.00 90.00 120.00
Space group P3m1 (No. 156)
Symmetry-distinct sites (fractional):
Eu1 0.0000 0.0000 0.0000 [1 per cell]
Gd1 0.6667 0.3333 0.6480 [1 per cell]
Er1 0.3333 0.6667 0.3381 [1 per cell]

Which is the most stable structure? B is the most stable.

## A
Eu2ErHg | PBE-GGA | relaxed

- ρ (g/cm3) = 9.1
- M_tot (μB per formula unit) = 15.046

abc: 4.976 4.976 4.964
angles: 90.00 90.00 90.00
Space group P4/mmm (No. 123)
Symmetry-distinct sites (fractional):
Eu1 0.000 0.500 0.000 [2 per cell]
Er1 0.000 0.000 0.500 [1 per cell]
Hg1 0.500 0.500 0.500 [1 per cell]

## B
Eu2ErHg | PBE-GGA | relaxed

- ρ (g/cm3) = 8.5
- M_tot (μB per formula unit) = 15.479

abc: 3.788 3.788 9.148
angles: 90.00 90.00 90.00
Space group P4/mmm (No. 123)
Symmetry-distinct sites (fractional):
Eu1 0.000 0.000 0.216 [2 per cell]
Er1 0.500 0.500 0.500 [1 per cell]
Hg1 0.500 0.500 0.000 [1 per cell]

Which is the most stable structure? B is the most stable.